No. 1
The following is a DFT calculation (PBE) of a geometry-optimized Cs5I3Br2 structure.

```
Cs5I3Br2
1.0
5.266 0.000 1.169
2.463 8.921 1.349
0.175 -3.316 11.663
Cs I Br
5 3 2
Direct
0.000 0.000 0.000
0.207 0.196 0.389
0.793 0.804 0.611
0.619 0.578 0.185
0.381 0.422 0.815
0.500 0.500 0.500
0.908 0.886 0.297
0.092 0.114 0.703
0.306 0.292 0.095
0.694 0.708 0.905
```

Summary:
As for the uncorrected formation energy: -158.3 kJ per mole of atoms. Its space-group type is No. 12. The volume is 56.01 Å³ per atom.

No. 2
The following is a DFT calculation (PBE) of a geometry-optimized Cs2IBr4 structure.

```
Cs2IBr4
1.0
-4.828 3.664 -5.334
-6.325 -4.079 2.922
4.739 3.832 4.453
Cs I Br
2 1 4
Direct
0.750 0.250 0.500
0.250 0.750 0.500
0.500 0.500 0.000
0.758 0.242 0.000
0.242 0.758 0.000
0.758 0.758 0.000
0.242 0.242 0.000
```

Summary:
As for the energy above the most stable polymorph in this dataset: 0 meV/atom. As for the uncorrected formation energy: -94.7 kJ per mole of atoms. Its space-group type is No. 139. The volume is 45.98 Å³ per atom.